## VTcSnOs (PBE)

Data for crystalline VTcSnOs at its relaxed geometry.

Output
* E_form: -33 meV/atom
* space-group type: F-43m
* DOS at the Fermi energy: 0.516 states/eV/atom
* V: 15.42 Å³/atom
* total moment: 0.00 μB per formula unit

Cell: 4.4352 4.4352 4.4352 Å, 60.00 60.00 60.00°
Element x y z (fractional)
Os: 0.5000 0.5000 0.5000
Sn: 0.2500 0.2500 0.2500
V: 0.7500 0.7500 0.7500
Tc: 0.0000 0.0000 0.0000

## Ti2In2W (PBE)

Data for crystalline Ti2In2W at its relaxed geometry.

Output
* E_form: 690 meV/atom
* space-group type: I4/mmm
* DOS at the Fermi energy: 1.012 states/eV/atom
* V: 20.52 Å³/atom
* total moment: 0.00 μB per formula unit

Cell: 3.7551 3.7551 7.7470 Å, 75.97 75.97 90.00°
Element x y z (fractional)
Ti: 0.4135 0.4135 0.1731
Ti: 0.5865 0.5865 0.8269
In: 0.7500 0.2500 0.5000
In: 0.2500 0.7500 0.5000
W: 0.0000 0.0000 0.0000

## CdAsSe (PBE)

Data for crystalline CdAsSe at its relaxed geometry.

Output
* space-group type: F-43m
* formation energy (no corrections): 0.279 eV per atom
* DOS at the Fermi energy: 0.829 states/eV/atom
* V: 25.23 Å³/atom
* total moment: 0.00 μB per formula unit

Cell: 4.7478 4.7478 4.7478 Å, 60.00 60.00 60.00°
Element x y z (fractional)
Cd: 0.0000 0.0000 0.0000
Se: 0.5000 0.5000 0.5000
As: 0.2500 0.2500 0.2500

## Au3C (PBE)

Data for crystalline Au3C at its relaxed geometry.

Output
* E_form: 1442 meV/atom
* space-group type: Cmmm
* DOS at the Fermi energy: 0.473 states/eV/atom
* V: 16.37 Å³/atom
* total moment: 0.00 μB per formula unit

Cell: 4.7872 4.7872 2.9320 Å, 90.00 90.00 103.03°
Element x y z (fractional)
Au: 0.0000 0.5000 0.5000
Au: 0.5000 0.0000 0.5000
Au: 0.5000 0.5000 0.0000
C: 0.0000 0.0000 0.0000

## Rb3Li2TmF9 (PBE)

Data for crystalline Rb3Li2TmF9 at its relaxed geometry.

Output
* space-group type: P-3m1
* formation energy (no corrections): -2.995 eV per atom
* DOS at the Fermi energy: 0.804 states/eV/atom
* V: 15.64 Å³/atom
* total moment: 1.16 μB per formula unit

Cell: 5.9818 5.9818 7.5719 Å, 90.00 90.00 120.00°
Last column: magnetic moment on the atom in μB.
Element x y z (fractional)
F: 0.5000 0.0000 0.0000  0.31
F: 0.3354 0.1677 0.6658  0.02
F: 0.8323 0.6646 0.6658  0.02
F: 0.6646 0.8323 0.3342  0.02
F: 0.1677 0.3354 0.3342  0.02
F: 0.5000 0.5000 0.0000  0.31
F: 0.8323 0.1677 0.6658  0.02
F: 0.1677 0.8323 0.3342  0.02
F: 0.0000 0.5000 0.0000  0.31
Rb: 0.6667 0.3333 0.3103  0.00
Rb: 0.0000 0.0000 0.0000  0.00
Rb: 0.3333 0.6667 0.6897  0.00
Li: 0.6667 0.3333 0.8083  0.00
Li: 0.3333 0.6667 0.1917  0.00
Tm: 0.0000 0.0000 0.5000  -0.01

## PrSm6Dy5 (PBE)

Data for crystalline PrSm6Dy5 at its relaxed geometry.

Output
* E_form: 18 meV/atom
* space-group type: Immm
* DOS at the Fermi energy: 1.422 states/eV/atom
* V: 32.94 Å³/atom
* total moment: 0.00 μB per formula unit

Cell: 5.0901 10.1770 9.5200 Å, 122.31 105.53 90.00°
Element x y z (fractional)
Sm: 0.5000 0.7476 0.0000
Sm: 0.8330 0.0844 0.6660
Sm: 0.1670 0.4184 0.3340
Sm: 0.8330 0.5816 0.6660
Sm: 0.1670 0.9156 0.3340
Sm: 0.5000 0.2524 0.0000
Dy: 0.0000 0.5000 0.0000
Dy: 0.6668 0.6669 0.3338
Dy: 0.3322 0.8324 0.6647
Dy: 0.3332 0.3331 0.6662
Dy: 0.6678 0.1676 0.3353
Pr: 0.0000 0.0000 0.0000

## Cu4Pd3Au (PBE)

Data for crystalline Cu4Pd3Au at its relaxed geometry.

Output
* E_form: -116 meV/atom
* space-group type: P4/mmm
* DOS at the Fermi energy: 0.186 states/eV/atom
* V: 14.06 Å³/atom
* total moment: 0.00 μB per formula unit

Cell: 3.0827 3.0827 11.8356 Å, 90.00 90.00 90.00°
Element x y z (fractional)
Pd: 0.5000 0.5000 0.5000
Pd: 0.5000 0.5000 0.7468
Pd: 0.5000 0.5000 0.2532
Cu: 0.0000 0.0000 0.1316
Cu: 0.0000 0.0000 0.6229
Cu: 0.0000 0.0000 0.8684
Cu: 0.0000 0.0000 0.3771
Au: 0.5000 0.5000 0.0000

## SbTeRu4 (PBE)

Data for crystalline SbTeRu4 at its relaxed geometry.

Output
* space-group type: F-43m
* formation energy (no corrections): 0.646 eV per atom
* DOS at the Fermi energy: 1.783 states/eV/atom
* V: 17.41 Å³/atom
* total moment: 1.30 μB per formula unit

Cell: 5.2864 5.2864 5.2864 Å, 60.00 60.00 60.00°
Last column: magnetic moment on the atom in μB.
Element x y z (fractional)
Ru: 0.3749 0.3749 0.3749  0.31
Ru: 0.8753 0.3749 0.3749  0.31
Ru: 0.3749 0.3749 0.8753  0.31
Ru: 0.3749 0.8753 0.3749  0.31
Te: 0.0000 0.0000 0.0000  0.01
Sb: 0.7500 0.7500 0.7500  0.01